DFT (PBE-GGA) results for a relaxed structure of BaFe2Ag.

Unit cell a=9.9954 b=9.9954 c=9.9954 alpha=18.05 beta=18.05 gamma=18.05
Closest atoms and distances in Å follow each position.
Atoms (fractional coordinates):
Ag 0.2500 0.2500 0.2500  6 Fe 2.76
Ba 0.7500 0.7500 0.7500  6 Ba 3.14, 6 Fe 3.36
Fe 0.9873 0.9873 0.9873  3 Ag 2.76
Fe 0.5127 0.5127 0.5127  3 Ag 2.76

Computed properties:
Energy, eV per cell: -17.39
Calculated volume, Å³/atom: 20.93